The following is a DFT calculation (PBE) of AcSm2YAs4 after structural relaxation.

The value obtained for the calculated volume is 222.4 Å³/f.u. Its energy relative to the elements is -1.48 eV/atom. The calculation puts the uncorrected energy at -6.310 eV per atom. The value obtained for the total magnetization is 0.00 μB/atom.

It has space group P2/m (No. 10), with a = 7.415 Å, b = 4.284 Å, c = 7.419 Å, α = 90.00°, β = 109.37° and γ = 90.00°. The asymmetric unit holds Ac at (0.000, 0.000, 0.000), Sm at (0.000, 0.500, 0.500), Sm at (0.500, 0.000, 0.500), Y at (0.500, 0.500, 0.000), As at (0.259, 0.000, 0.748) and As at (0.264, 0.500, 0.260).


The following is a DFT calculation (PBE) of AcSmY2As4 after structural relaxation.

The value obtained for the calculated volume is 218.5 Å³/f.u. Its energy relative to the elements is -1.50 eV/atom. The calculation puts the uncorrected energy at -6.540 eV per atom. The value obtained for the total magnetization is 0.00 μB/atom.

It has space group P2/m (No. 10), with a = 7.371 Å, b = 4.260 Å, c = 7.379 Å, α = 90.00°, β = 109.43° and γ = 90.00°. The asymmetric unit holds Ac at (0.000, 0.000, 0.000), Sm at (0.000, 0.500, 0.500), Y at (0.500, 0.000, 0.500), Y at (0.500, 0.500, 0.000), As at (0.261, 0.000, 0.746) and As at (0.267, 0.500, 0.263).


The following is a DFT calculation (PBE) of AcSn2As after structural relaxation.

The value obtained for the calculated volume is 121.0 Å³/f.u. For the offset from the most stable computed form, the calculation gives 5.764 kcal/mol of atoms. Its energy relative to the elements is -0.29 eV/atom. The calculation puts the uncorrected energy at -4.485 eV per atom. The value obtained for the total magnetization is 0.00 μB/atom.

It has space group R-3m (No. 166, hexagonal axes), with a = 5.0620 Å, b = 5.0620 Å, c = 16.3609 Å, α = 90.00°, β = 90.00° and γ = 120.00°. The asymmetric unit holds Ac at (0.0000, 0.0000, 0.0000), Sn at (0.0000, 0.0000, 0.2107) and As at (0.0000, 0.0000, 0.5000).